Here is an optimized crystal structure of SiRh2Pb from Alexandria. Energies are from GGA-PBE.

Properties
V = 146.5 Å³ per cell
Energy relative to the lowest polymorph listed for this composition = 53 meV per atom
Formation energy (no corrections) = -363 meV/atom
Calculated density = 9.999 g/cm3
Total magnetic moment = 0.00 Bohr magnetons per cell
Electronic total energy = -50.57 eV/cell

The structure in CIF format:
```
data_SiRh2Pb
_chemical_formula_sum 'Si2 Rh4 Pb2'
_space_group_name_H-M_alt 'C 1 2/m 1'
_space_group_IT_number 12
_cell_length_a 6.3141
_cell_length_b 3.6504
_cell_length_c 6.6930
_cell_angle_alpha 90.00
_cell_angle_beta 108.24
_cell_angle_gamma 90.00
loop_
_space_group_symop_operation_xyz
'x,y,z'
'-x,-y,-z'
'-x,y,-z'
'x,-y,z'
'x+1/2,y+1/2,z'
'-x+1/2,-y+1/2,-z'
'-x+1/2,y+1/2,-z'
'x+1/2,-y+1/2,z'
loop_
_atom_site_label
_atom_site_type_symbol
_atom_site_fract_x
_atom_site_fract_y
_atom_site_fract_z
Si1 Si 0.0000 0.0000 0.0000
Rh1 Rh 0.2209 0.5000 0.1639
Pb1 Pb 0.0000 0.5000 0.5000
```

=====

Here is an optimized crystal structure of CuIr5 from Alexandria. Energies are from GGA-PBE.

Properties
Formation enthalpy at 0 K = 0.11 eV per atom
V = 171.0 Å³ per cell
Energy relative to the lowest polymorph listed for this composition = 9 meV per atom
Calculated density = 19.896 g/cm3
Total magnetic moment = 0.00 Bohr magnetons per cell
Electronic total energy = -95.53 eV/cell

The structure in CIF format:
```
data_CuIr5
_chemical_formula_sum 'Cu2 Ir10'
_space_group_name_H-M_alt 'P m m n'
_space_group_IT_number 59
_cell_length_a 3.8340
_cell_length_b 8.1736
_cell_length_c 5.4577
_cell_angle_alpha 90.00
_cell_angle_beta 90.00
_cell_angle_gamma 90.00
loop_
_space_group_symop_operation_xyz
'x,y,z'
'-x,-y,-z'
'-x+1/2,-y+1/2,z'
'x+1/2,y+1/2,-z'
'x+1/2,-y,-z'
'-x+1/2,y,z'
'-x,y+1/2,-z'
'x,-y+1/2,z'
loop_
_atom_site_label
_atom_site_type_symbol
_atom_site_fract_x
_atom_site_fract_y
_atom_site_fract_z
Cu1 Cu 0.2500 0.2500 0.1262
Ir1 Ir 0.2500 0.2500 0.6202
Ir2 Ir 0.2500 0.5790 0.6242
Ir3 Ir 0.2500 0.5845 0.1236
```

=====

Here is an optimized crystal structure of Y2MnRe from Alexandria. Energies are from GGA-PBE.

Properties
Formation enthalpy at 0 K = 0.08 eV per atom
V = 302.0 Å³ per cell
Energy relative to the lowest polymorph listed for this composition = 0 meV per atom
Calculated density = 6.910 g/cm3
Total magnetic moment = 0.00 Bohr magnetons per cell
Electronic total energy = -102.66 eV/cell

The structure in CIF format:
```
data_Y2MnRe
_chemical_formula_sum 'Y6 Mn3 Re3'
_space_group_name_H-M_alt 'R 3 m'
_space_group_IT_number 160
_space_group_name_Hall 'R 3 -2"'
_cell_length_a 3.9520
_cell_length_b 3.9520
_cell_length_c 22.3289
_cell_angle_alpha 90.00
_cell_angle_beta 90.00
_cell_angle_gamma 120.00
loop_
_atom_site_label
_atom_site_type_symbol
_atom_site_fract_x
_atom_site_fract_y
_atom_site_fract_z
Y1 Y 0.0000 0.0000 0.0000
Y2 Y 0.0000 0.0000 0.1861
Mn1 Mn 0.0000 0.0000 0.7516
Re1 Re 0.0000 0.0000 0.4322
```

=====

Here is an optimized crystal structure of TiGa2Os from Alexandria. Energies are from GGA-PBE.

Properties
Formation enthalpy at 0 K = 0.04 eV per atom
V = 262.9 Å³ per cell
Calculated density = 9.538 g/cm3
Total magnetic moment = 0.00 Bohr magnetons per cell
Electronic total energy = -100.05 eV/cell

The structure in CIF format:
```
data_TiGa2Os
_chemical_formula_sum 'Ti4 Ga8 Os4'
_space_group_name_H-M_alt 'I -4 2 d'
_space_group_IT_number 122
_space_group_name_Hall 'I -4 2bw'
_cell_length_a 3.7240
_cell_length_b 3.7240
_cell_length_c 18.9573
_cell_angle_alpha 90.00
_cell_angle_beta 90.00
_cell_angle_gamma 90.00
loop_
_atom_site_label
_atom_site_type_symbol
_atom_site_fract_x
_atom_site_fract_y
_atom_site_fract_z
Ti1 Ti 0.0000 0.0000 0.0000
Ga1 Ga 0.2495 0.2500 0.6250
Os1 Os 0.0000 0.0000 0.5000
```

=====

Here is an optimized crystal structure of KRb2GeS4 from Alexandria. Energies are from GGA-PBE.

Properties
V = 514.0 Å³ per cell
Formation energy (no corrections) = -801 meV/atom
Calculated density = 2.655 g/cm3
Total magnetic moment = 2.20 Bohr magnetons per cell
Electronic total energy = -61.13 eV/cell

The structure in CIF format:
```
data_KRb2GeS4
_chemical_formula_sum 'K2 Rb4 Ge2 S8'
_space_group_name_H-M_alt 'I -4 2 m'
_space_group_IT_number 121
_space_group_name_Hall 'I -4 2'
_cell_length_a 8.0831
_cell_length_b 8.0831
_cell_length_c 7.8664
_cell_angle_alpha 90.00
_cell_angle_beta 90.00
_cell_angle_gamma 90.00
loop_
_atom_site_label
_atom_site_type_symbol
_atom_site_fract_x
_atom_site_fract_y
_atom_site_fract_z
K1 K 0.0000 0.0000 0.0000
Rb1 Rb 0.0000 0.5000 0.0000
Ge1 Ge 0.0000 0.0000 0.5000
S1 S 0.1582 0.1582 0.3307
```

=====

Here is an optimized crystal structure of LiMg2Au2 from Alexandria. Energies are from GGA-PBE.

Properties
Formation enthalpy at 0 K = -0.48 eV per atom
V = 372.6 Å³ per cell
Energy relative to the lowest polymorph listed for this composition = 38 meV per atom
Calculated density = 8.014 g/cm3
Total magnetic moment = 0.00 Bohr magnetons per cell
Electronic total energy = -56.16 eV/cell

The structure in CIF format:
```
data_LiMg2Au2
_chemical_formula_sum 'Li4 Mg8 Au8'
_space_group_name_H-M_alt 'C 1 2/m 1'
_space_group_IT_number 12
_cell_length_a 10.1592
_cell_length_b 4.3039
_cell_length_c 9.2173
_cell_angle_alpha 90.00
_cell_angle_beta 112.42
_cell_angle_gamma 90.00
loop_
_space_group_symop_operation_xyz
'x,y,z'
'-x,-y,-z'
'-x,y,-z'
'x,-y,z'
'x+1/2,y+1/2,z'
'-x+1/2,-y+1/2,-z'
'-x+1/2,y+1/2,-z'
'x+1/2,-y+1/2,z'
loop_
_atom_site_label
_atom_site_type_symbol
_atom_site_fract_x
_atom_site_fract_y
_atom_site_fract_z
Li1 Li 0.2135 0.0000 0.3539
Mg1 Mg 0.0247 0.5000 0.3427
Mg2 Mg 0.1667 0.5000 0.0841
Au1 Au 0.0456 0.0000 0.8759
Au2 Au 0.1416 0.0000 0.6080
```

=====

Here is an optimized crystal structure of Mg6PdAu12 from Alexandria. Energies are from GGA-PBE.

Properties
Formation enthalpy at 0 K = -0.42 eV per atom
V = 1044.1 Å³ per cell
Calculated density = 12.480 g/cm3
Total magnetic moment = 0.00 Bohr magnetons per cell
Electronic total energy = -186.39 eV/cell

The structure in CIF format:
```
data_Mg6PdAu12
_chemical_formula_sum 'Mg18 Pd3 Au36'
_space_group_name_H-M_alt 'R -3'
_space_group_IT_number 148
_space_group_name_Hall '-R 3'
_cell_length_a 10.0408
_cell_length_b 10.0408
_cell_length_c 11.9588
_cell_angle_alpha 90.00
_cell_angle_beta 90.00
_cell_angle_gamma 120.00
loop_
_atom_site_label
_atom_site_type_symbol
_atom_site_fract_x
_atom_site_fract_y
_atom_site_fract_z
Mg1 Mg 0.0230 0.4276 0.2115
Pd1 Pd 0.0000 0.0000 0.5000
Au1 Au 0.0335 0.1850 0.3177
Au2 Au 0.0537 0.8450 0.9092
```

=====

Here is an optimized crystal structure of ReBiO3 from Alexandria. Energies are from GGA-PBE.

Properties
V = 77.9 Å³ per cell
Formation energy (no corrections) = 525 meV/atom
Calculated density = 9.452 g/cm3
Total magnetic moment = 5.21 Bohr magnetons per cell
Electronic total energy = -28.58 eV/cell

The structure in CIF format:
```
data_ReBiO3
_chemical_formula_sum 'Re1 Bi1 O3'
_space_group_name_H-M_alt 'P m -3 m'
_space_group_IT_number 221
_space_group_name_Hall '-P 4 2 3'
_cell_length_a 4.2700
_cell_length_b 4.2700
_cell_length_c 4.2700
_cell_angle_alpha 90.00
_cell_angle_beta 90.00
_cell_angle_gamma 90.00
loop_
_atom_site_label
_atom_site_type_symbol
_atom_site_fract_x
_atom_site_fract_y
_atom_site_fract_z
Re1 Re 0.0000 0.0000 0.0000
Bi1 Bi 0.5000 0.5000 0.5000
O1 O 0.0000 0.5000 0.5000
```

=====

Here is an optimized crystal structure of RbPu2PdS4 from Alexandria. Energies are from GGA-PBE.

Properties
V = 772.6 Å³ per cell
Formation energy (no corrections) = -1393 meV/atom
Calculated density = 6.948 g/cm3
Total magnetic moment = 36.09 Bohr magnetons per cell
Electronic total energy = -249.90 eV/cell

The structure in CIF format:
```
data_RbPu2PdS4
_chemical_formula_sum 'Rb4 Pu8 Pd4 S16'
_space_group_name_H-M_alt 'C m c m'
_space_group_IT_number 63
_space_group_name_Hall '-C 2c 2'
_cell_length_a 4.0508
_cell_length_b 13.7262
_cell_length_c 13.8953
_cell_angle_alpha 90.00
_cell_angle_beta 90.00
_cell_angle_gamma 90.00
loop_
_atom_site_label
_atom_site_type_symbol
_atom_site_fract_x
_atom_site_fract_y
_atom_site_fract_z
Rb1 Rb 0.0000 0.1087 0.2500
Pu1 Pu 0.0000 0.3668 0.0635
Pd1 Pd 0.0000 0.1673 0.7500
S1 S 0.0000 0.0000 0.0000
S2 S 0.0000 0.2603 0.6015
S3 S 0.0000 0.4276 0.2500
```

=====

Here is an optimized crystal structure of LiBe2H6 from Alexandria. Energies are from GGA-PBE.

Properties
V = 281.6 Å³ per cell
Energy relative to the lowest polymorph listed for this composition = 0 meV per atom
Calculated density = 0.732 g/cm3
Total magnetic moment = 0.00 Bohr magnetons per cell
Electronic total energy = -115.72 eV/cell

The structure in CIF format:
```
data_LiBe2H6
_chemical_formula_sum 'Li4 Be8 H24'
_space_group_name_H-M_alt 'C 1 2/c 1'
_space_group_IT_number 15
_cell_length_a 10.5766
_cell_length_b 5.6533
_cell_length_c 4.9916
_cell_angle_alpha 90.00
_cell_angle_beta 109.37
_cell_angle_gamma 90.00
loop_
_space_group_symop_operation_xyz
'x,y,z'
'-x,-y,-z'
'-x,y,-z+1/2'
'x,-y,z+1/2'
'x+1/2,y+1/2,z'
'-x+1/2,-y+1/2,-z'
'-x+1/2,y+1/2,-z+1/2'
'x+1/2,-y+1/2,z+1/2'
loop_
_atom_site_label
_atom_site_type_symbol
_atom_site_fract_x
_atom_site_fract_y
_atom_site_fract_z
Li1 Li 0.0000 0.1138 0.2500
Be1 Be 0.2256 0.0375 0.7234
H1 H 0.0940 0.1247 0.6373
H2 H 0.1907 0.2355 0.2082
H3 H 0.1982 0.4772 0.9677
```

=====

Here is an optimized crystal structure of MnBe2Te from Alexandria. Energies are from GGA-PBE.

Properties
V = 61.2 Å³ per cell
Formation energy (no corrections) = 185 meV/atom
Calculated density = 5.444 g/cm3
Total magnetic moment = 1.93 Bohr magnetons per cell
Electronic total energy = -19.02 eV/cell

The structure in CIF format:
```
data_MnBe2Te
_chemical_formula_sum 'Mn1 Be2 Te1'
_space_group_name_H-M_alt 'P 3 m 1'
_space_group_IT_number 156
_cell_length_a 3.6416
_cell_length_b 3.6416
_cell_length_c 5.3269
_cell_angle_alpha 90.00
_cell_angle_beta 90.00
_cell_angle_gamma 120.00
loop_
_space_group_symop_operation_xyz
'x,y,z'
'-y,x-y,z'
'-x+y,-x,z'
'-y,-x,z'
'-x+y,y,z'
'x,x-y,z'
loop_
_atom_site_label
_atom_site_type_symbol
_atom_site_fract_x
_atom_site_fract_y
_atom_site_fract_z
Mn1 Mn 0.0000 0.0000 0.0000
Be1 Be 0.3333 0.6667 0.2203
Be2 Be 0.6667 0.3333 0.1876
Te1 Te 0.3333 0.6667 0.7013
```